A relaxed structure of ScMnNiI2. Source: Alexandria, functional PBE-GGA.

The space group is P4/mmm (No. 123) and the conventional cell measures 5.191, 5.191 and 4.616 Å, with angles of 90.00, 90.00 and 90.00 degrees. The inequivalent atoms are Sc at (0.000, 0.000, 0.000), Mn at (0.500, 0.500, 0.000), Ni at (0.500, 0.500, 0.500) and I at (0.000, 0.500, 0.500).

The calculation puts the calculated density at 5.5 g cm⁻³. The value obtained for the density of states at the Fermi level is 3.34 states/eV/cell. Its formation energy (no corrections) is 0.415 eV/atom.



A relaxed structure of BeNiIr. Source: Alexandria, functional PBE-GGA.

The space group is P3m1 (No. 156) and the conventional cell measures 3.8500, 3.8500 and 2.6563 Å, with angles of 90.00, 90.00 and 120.00 degrees. The inequivalent atoms are Be at (0.0000, 0.0000, 0.0000), Ni at (0.3333, 0.6667, 0.9925) and Ir at (0.6667, 0.3333, 0.4935).

The calculation puts the calculated density at 12.7 g cm⁻³. The value obtained for the density of states at the Fermi level is 4.20 states/eV/cell. The value obtained for the energy relative to the elements is -0.14 eV per atom. For the energy above the most stable polymorph in this dataset, the calculation gives 0.138 eV/atom.



A relaxed structure of Li4SbSe. Source: Alexandria, functional PBE-GGA.

The space group is F-43m (No. 216) and the conventional cell measures 7.572, 7.572 and 7.572 Å, with angles of 90.00, 90.00 and 90.00 degrees. The inequivalent atoms are Li at (0.123, 0.123, 0.123), Sb at (0.250, 0.250, 0.750) and Se at (0.000, 0.000, 0.500).

The calculation puts the calculated density at 3.5 g cm⁻³. The value obtained for the density of states at the Fermi level is 9.78 states/eV/cell. Its formation energy (no corrections) is -0.246 eV/atom.



A relaxed structure of ReRu2Cl. Source: Alexandria, functional PBE-GGA.

The space group is C2/m (No. 12) and the conventional cell measures 6.274, 6.791 and 2.801 Å, with angles of 90.00, 90.19 and 90.00 degrees. The inequivalent atoms are Re at (0.000, 0.000, 0.000), Ru at (0.250, 0.250, 0.500) and Cl at (0.000, 0.500, 0.000).

The calculation puts the calculated density at 11.8 g cm⁻³. The value obtained for the density of states at the Fermi level is 13.72 states/eV/cell. Its formation energy (no corrections) is 0.928 eV/atom. For the energy above the most stable polymorph in this dataset, the calculation gives 0.628 eV/atom.



A relaxed structure of CaRu2Au. Source: Alexandria, functional PBE-GGA.

The space group is P4/mmm (No. 123) and the conventional cell measures 3.976, 3.976 and 4.376 Å, with angles of 90.00, 90.00 and 90.00 degrees. The inequivalent atoms are Ca at (0.000, 0.000, 0.000), Ru at (0.000, 0.500, 0.500) and Au at (0.500, 0.500, 0.000).

The calculation puts the calculated density at 10.5 g cm⁻³. The value obtained for the density of states at the Fermi level is 5.36 states/eV/cell. The value obtained for the energy relative to the elements is 0.31 eV per atom. For the energy above the most stable polymorph in this dataset, the calculation gives 0.214 eV/atom.



A relaxed structure of Ba3YCd4. Source: Alexandria, functional PBE-GGA.

The space group is P4/mmm (No. 123) and the conventional cell measures 4.060, 4.060 and 16.904 Å, with angles of 90.00, 90.00 and 90.00 degrees. The inequivalent atoms are Ba at (0.000, 0.000, 0.000), Ba at (0.000, 0.000, 0.266), Y at (0.000, 0.000, 0.500), Cd at (0.500, 0.500, 0.132) and Cd at (0.500, 0.500, 0.405).

The calculation puts the calculated density at 5.7 g cm⁻³. The value obtained for the density of states at the Fermi level is 3.81 states/eV/cell. The value obtained for the energy relative to the elements is -0.30 eV per atom.



A relaxed structure of CaIrSe2. Source: Alexandria, functional PBE-GGA.

The space group is C2/m (No. 12) and the conventional cell measures 7.064, 4.067 and 6.319 Å, with angles of 90.00, 111.89 and 90.00 degrees. The inequivalent atoms are Ca at (0.000, 0.000, 0.000), Ir at (0.000, 0.500, 0.500) and Se at (0.231, 0.000, 0.693).

The calculation puts the calculated density at 7.7 g cm⁻³. The value obtained for the density of states at the Fermi level is 5.94 states/eV/cell. Its formation energy (no corrections) is -0.713 eV/atom. For the energy above the most stable polymorph in this dataset, the calculation gives 0.031 eV/atom.



A relaxed structure of BaZn2SiAs4. Source: Alexandria, functional PBE-GGA.

The space group is I-42m (No. 121) and the conventional cell measures 6.797, 6.797 and 8.758 Å, with angles of 90.00, 90.00 and 90.00 degrees. The inequivalent atoms are Ba at (0.000, 0.000, 0.000), Zn at (0.000, 0.500, 0.250), Si at (0.000, 0.000, 0.500) and As at (0.198, 0.198, 0.657).

The calculation puts the calculated density at 4.9 g cm⁻³. The value obtained for the density of states at the Fermi level is 11.01 states/eV/cell. Its formation energy (no corrections) is -0.238 eV/atom.



A relaxed structure of Ac5Pr6. Source: Alexandria, functional PBE-GGA.

The space group is C2/m (No. 12) and the conventional cell measures 12.506, 11.290 and 6.643 Å, with angles of 90.00, 98.97 and 90.00 degrees. The inequivalent atoms are Ac at (0.000, 0.000, 0.000), Ac at (0.000, 0.172, 0.500), Ac at (0.000, 0.336, 0.000), Pr at (0.246, 0.167, 0.238) and Pr at (0.250, 0.000, 0.740).

The calculation puts the calculated density at 7.1 g cm⁻³. The value obtained for the density of states at the Fermi level is 32.84 states/eV/cell. The value obtained for the energy relative to the elements is 0.16 eV per atom.



A relaxed structure of Li4DyHg. Source: Alexandria, functional PBE-GGA.

The space group is F-43m (No. 216) and the conventional cell measures 7.673, 7.673 and 7.673 Å, with angles of 90.00, 90.00 and 90.00 degrees. The inequivalent atoms are Li at (0.123, 0.123, 0.123), Dy at (0.000, 0.000, 0.500) and Hg at (0.250, 0.250, 0.750).

The calculation puts the calculated density at 5.7 g cm⁻³. The value obtained for the density of states at the Fermi level is 10.83 states/eV/cell. The value obtained for the energy relative to the elements is -0.11 eV per atom.



A relaxed structure of LaPmSbPd. Source: Alexandria, functional PBE-GGA.

The space group is F-43m (No. 216) and the conventional cell measures 7.570, 7.570 and 7.570 Å, with angles of 90.00, 90.00 and 90.00 degrees. The inequivalent atoms are La at (0.000, 0.000, 0.000), Pm at (0.000, 0.000, 0.500), Sb at (0.250, 0.250, 0.250) and Pd at (0.250, 0.250, 0.750).

The calculation puts the calculated density at 7.8 g cm⁻³. The value obtained for the density of states at the Fermi level is 13.87 states/eV/cell. Its formation energy (no corrections) is -0.808 eV/atom.



A relaxed structure of ZrCrPd3. Source: Alexandria, functional PBE-GGA.

The space group is Pm-3m (No. 221) and the conventional cell measures 4.604, 4.604 and 4.604 Å, with angles of 90.00, 90.00 and 90.00 degrees. The inequivalent atoms are Zr at (0.000, 0.000, 0.000), Cr at (0.500, 0.500, 0.500) and Pd at (0.000, 0.500, 0.500).

The calculation puts the calculated density at 7.9 g cm⁻³. The value obtained for the density of states at the Fermi level is 8.10 states/eV/cell. The value obtained for the energy relative to the elements is 0.54 eV per atom. For the energy above the most stable polymorph in this dataset, the calculation gives 0.000 eV/atom.



A relaxed structure of LiDySnPb. Source: Alexandria, functional PBE-GGA.

The space group is Pmmm (No. 47) and the conventional cell measures 4.424, 4.661 and 4.785 Å, with angles of 90.00, 90.00 and 90.00 degrees. The inequivalent atoms are Li at (0.000, 0.000, 0.000), Dy at (0.000, 0.500, 0.500), Sn at (0.500, 0.000, 0.500) and Pb at (0.500, 0.500, 0.000).

The calculation puts the calculated density at 8.3 g cm⁻³. The value obtained for the density of states at the Fermi level is 1.14 states/eV/cell. The value obtained for the energy relative to the elements is -0.48 eV per atom. For the energy above the most stable polymorph in this dataset, the calculation gives 0.000 eV/atom.